Here is a geometry-optimized Zn2CdO structure from the Alexandria database. Energies are from PBE.

a b c (Å): 5.926 5.926 7.986
angles (deg): 90.00 90.00 90.00
Space group I-42d (No. 122)
Asymmetric unit:
1 Zn 0.156 0.250 0.125 x8
2 Cd 0.000 0.000 0.500 x4
3 O 0.000 0.000 0.000 x4

Computed properties:
Uncorrected energy in eV per atom: -2.5749
Formation energy without anion corrections in eV per atom: -0.470



Here is a geometry-optimized KLaRu2 structure from the Alexandria database. Energies are from PBE.

a b c (Å): 3.869 3.869 7.591
angles (deg): 90.00 90.00 90.00
Space group P4/mmm (No. 123)
Asymmetric unit:
1 K 0.000 0.000 0.000 x1
2 La 0.000 0.000 0.500 x1
3 Ru 0.500 0.500 0.339 x2

Computed properties:
Uncorrected energy in eV per atom: -5.4733
ΔE_f in meV/atom: 671



Here is a geometry-optimized SmUAsO2 structure from the Alexandria database. Energies are from PBE.

a b c (Å): 3.818 3.818 12.294
angles (deg): 90.00 90.00 90.00
Space group I4mm (No. 107)
Asymmetric unit:
1 Sm 0.000 0.000 0.000 x2
2 U 0.000 0.000 0.709 x2
3 As 0.000 0.000 0.355 x2
4 O 0.000 0.500 0.114 x4

Computed properties:
Uncorrected energy in eV per atom: -8.5858
Formation energy without anion corrections in eV per atom: -2.471



Here is a geometry-optimized Ho2Pd2Pt15 structure from the Alexandria database. Energies are from PBE.

a b c (Å): 9.2565 9.2565 13.3756
angles (deg): 90.00 90.00 120.00
Space group R-3m (No. 166, hexagonal axes)
Asymmetric unit:
1 Ho 0.0000 0.0000 0.1649 x6
2 Pd 0.0000 0.0000 0.3939 x6
3 Pt 0.0000 0.3158 0.5000 x18
4 Pt 0.0000 0.5000 0.0000 x9
5 Pt 0.0062 0.5031 0.6587 x18

Computed properties:
Uncorrected energy in eV per atom: -6.2179
ΔE_f in meV/atom: -420



> Among the records above, which one has the lowest uncorrected energy?

SmUAsO2



Repeat the first record exactly.
Here is a geometry-optimized Zn2CdO structure from the Alexandria database. Energies are from PBE.

a b c (Å): 5.926 5.926 7.986
angles (deg): 90.00 90.00 90.00
Space group I-42d (No. 122)
Asymmetric unit:
1 Zn 0.156 0.250 0.125 x8
2 Cd 0.000 0.000 0.500 x4
3 O 0.000 0.000 0.000 x4

Computed properties:
Uncorrected energy in eV per atom: -2.5749
Formation energy without anion corrections in eV per atom: -0.470



> The lowest uncorrected energy belongs to which entry?

SmUAsO2



> Among the records above, which one has the lowest uncorrected energy?

SmUAsO2